Computed, not measured: Ac5IrS4 after structural relaxation at the PBE level of DFT.

The calculation puts the total magnetization at 0.0 μB per formula unit. The calculation puts the energy at -63.220 eV per cell. Its uncorrected formation energy is -1.731 eV per atom.

Lattice parameters (Å, degrees): 4.2714 6.1669 11.6576 105.34 100.56 90.00
Positions (direct):
Ac (0.2022, 0.7022, 0.4043)
Ac (0.4062, 0.9062, 0.8123)
Ac (0.0000, 0.5000, 0.0000)
Ac (0.5938, 0.0938, 0.1877)
Ac (0.7978, 0.2978, 0.5957)
S (0.3957, 0.3957, 0.7914)
S (0.6043, 0.6043, 0.2086)
S (0.7998, 0.7998, 0.5996)
S (0.2002, 0.2002, 0.4004)
Ir (0.0000, 0.0000, 0.0000)